Density functional theory data (PBE) for a relaxed structure of Ac2HoSn5.

Values from the calculation:
Its crystal system is tetragonal. Its density is 8.36 g/cm³. As for the calculated volume: 241 Å³ per cell. For the magnetic moment, the calculation gives 0.00 μB/cell. The formation energy comes out at -0.552 eV per atom.

abc: 6.826 6.826 6.826
angles: 113.90 113.90 100.93
Atoms (fractional coordinates):
Ac: 0.000 0.500 0.500
Ac: 0.500 0.000 0.500
Ho: 0.394 0.394 0.000
Sn: 0.006 0.006 0.000
Sn: 0.530 0.530 0.572
Sn: 0.530 0.957 0.000
Sn: 0.957 0.530 0.000
Sn: 0.957 0.957 0.428